Here is a relaxed structure of LaAsPS2 from Alexandria via LeMat-Bulk. Energies are from PBE.

a b c (Å): 4.699 4.699 4.784
angles (deg): 90.00 90.00 90.00
Space group P4/mmm (No. 123)
Symmetry-distinct sites (fractional):
La 0.000 0.000 0.000
As 0.500 0.500 0.000
P 0.500 0.500 0.500
S 0.000 0.500 0.500

## Properties
total magnetic moment	0.0	μB per formula unit
raw total energy	-26.27	eV for the cell shown
ρ	4.855	Mg/m³